{
  "formula": "YAlGaHg",
  "functional": "GGA-PBE",
  "state": "optimized geometry",
  "lattice": [[4.956, 0.000, 0.000], [2.478, 4.292, 0.000], [2.478, 1.431, 4.047]],
  "species": ["Al", "Hg", "Y", "Ga"],
  "frac_coords": [[0.250, 0.250, 0.250], [0.500, 0.500, 0.500], [0.750, 0.750, 0.750], [0.000, 0.000, 0.000]],
  "e_tot_ev_per_fu": -14.46,
  "space_group": "No. 216"
}